Record 1
VASP calculation (PBEsol) on a relaxed structure of MgGaSeBr2.

Structure (POSCAR):
```
MgGaSeBr2
1.0
5.1144 0.0000 0.0000
0.0000 5.1745 0.0000
0.0000 0.0000 5.1745
Mg Ga Se Br
1 1 1 2
Direct
0.0000 0.0000 0.0000 Mg
0.5000 0.5000 0.5000 Ga
0.5000 0.0000 0.0000 Se
0.0000 0.0000 0.5000 Br
0.0000 0.5000 0.0000 Br
```

E_tot, eV per atom: -3.0468
Formation energy (no corrections), meV/atom: -517.4
Mass density, g cm⁻³: 4.04


Record 2
VASP calculation (PBEsol) on a relaxed structure of YZnCu.

Structure (POSCAR):
```
YZnCu
1.0
-0.4558 1.4993 3.0875
-1.3173 -3.7481 1.6256
4.1627 1.0421 0.1085
Y Zn Cu
1 1 1
Direct
0.0000 0.6667 0.3333 Y
0.5000 0.3333 0.6667 Zn
0.5000 0.0000 0.0000 Cu
```

E_tot, eV per atom: -4.5542
Mass density, g cm⁻³: 6.55
Energy relative to the elements, eV per formula unit: -0.92


Record 3
VASP calculation (PBEsol) on a relaxed structure of IrOsBr.

Structure (POSCAR):
```
IrOsBr
1.0
3.7215 0.0000 0.0000
-1.8608 3.2229 0.0000
0.0000 0.0000 5.0026
Ir Os Br
1 1 1
Direct
0.3333 0.6667 0.5840 Ir
0.6667 0.3333 0.3818 Os
0.0000 0.0000 0.0342 Br
```

E_tot, eV per atom: -6.9754
Formation energy (no corrections), meV/atom: 994.4
Mass density, g cm⁻³: 12.80


Record 4
VASP calculation (PBEsol) on a relaxed structure of BRh2Cl.

Structure (POSCAR):
```
BRh2Cl
1.0
-1.8602 2.6989 2.4203
-1.9697 -1.2707 3.3328
1.5163 0.8075 3.6947
B Rh Cl
1 2 1
Direct
0.0000 0.0000 0.0000 B
0.2500 0.2500 0.2500 Rh
0.7500 0.7500 0.7500 Rh
0.5000 0.5000 0.5000 Cl
```

E_tot, eV per atom: -5.6317
Formation energy (no corrections), meV/atom: 693.6
Mass density, g cm⁻³: 8.75


Record 5
VASP calculation (PBEsol) on a relaxed structure of BaBTe3.

Structure (POSCAR):
```
BaBTe3
1.0
-1.0359 1.1994 -4.8484
4.8368 -0.9938 -1.2793
-1.2455 -4.8572 -0.9355
B Te Ba
1 3 1
Direct
0.0000 0.0000 0.0000 B
0.0000 0.5000 0.0000 Te
0.0000 0.0000 0.5000 Te
0.5000 0.0000 0.0000 Te
0.5000 0.5000 0.5000 Ba
```

E_tot, eV per atom: -4.1147
Formation energy (no corrections), meV/atom: -166.0
Mass density, g cm⁻³: 6.64


Record 6
VASP calculation (PBEsol) on a relaxed structure of Li2Cu.

Structure (POSCAR):
```
Li2Cu
1.0
3.9476 0.0000 0.0000
0.0000 3.9476 0.0000
-1.9738 -1.9738 10.6231
Cu Li
4 8
Direct
0.1611 0.6611 0.3222 Cu
0.3389 0.8389 0.6778 Cu
0.9111 0.9111 0.8222 Cu
0.0889 0.0889 0.1778 Cu
0.0023 0.5023 0.0047 Li
0.4977 0.9977 0.9953 Li
0.7523 0.7523 0.5047 Li
0.2477 0.2477 0.4953 Li
0.8379 0.3379 0.6758 Li
0.6621 0.1621 0.3242 Li
0.5879 0.5879 0.1758 Li
0.4121 0.4121 0.8242 Li
```

E_tot, eV per atom: -2.7082
Mass density, g cm⁻³: 3.11
Energy relative to the elements, eV per formula unit: 0.14


Record 7
VASP calculation (PBEsol) on a relaxed structure of Mg2RuPt.

Structure (POSCAR):
```
Mg2RuPt
1.0
2.8626 0.0000 0.0000
1.4313 2.4791 0.0000
1.4313 0.8264 8.6650
Mg Pt Ru
2 1 1
Direct
0.2506 0.2506 0.2483 Mg
0.7494 0.7494 0.7517 Mg
0.5000 0.5000 0.5000 Pt
0.0000 0.0000 0.0000 Ru
```

E_tot, eV per atom: -5.2829
Mass density, g cm⁻³: 9.31
Energy relative to the elements, eV per formula unit: -0.56


Record 8
VASP calculation (PBEsol) on a relaxed structure of TaBr.

Structure (POSCAR):
```
TaBr
1.0
3.0564 0.0000 0.0000
0.0000 3.0564 0.0000
0.0000 0.0000 8.7435
Br Ta
2 2
Direct
0.5000 0.0000 0.6817 Br
0.0000 0.5000 0.3183 Br
0.5000 0.0000 0.1216 Ta
0.0000 0.5000 0.8784 Ta
```

E_tot, eV per atom: -7.3251
Formation energy (no corrections), meV/atom: -114.6
Mass density, g cm⁻³: 10.61


Record 9
VASP calculation (PBEsol) on a relaxed structure of TaTlCl2.

Structure (POSCAR):
```
TaTlCl2
1.0
-2.7355 -1.2612 0.8542
-0.1146 -2.9687 0.9884
0.6661 1.8563 10.6123
Tl Cl Ta
1 2 1
Direct
0.0000 0.0000 0.0000 Tl
0.2219 0.2219 0.3342 Cl
0.7781 0.7781 0.6658 Cl
0.5000 0.5000 0.5000 Ta
```

E_tot, eV per atom: -5.3700
Formation energy (no corrections), meV/atom: -570.7
Mass density, g cm⁻³: 8.39


Record 10
VASP calculation (PBEsol) on a relaxed structure of HoZn12.

Structure (POSCAR):
```
HoZn12
1.0
5.0296 0.0000 0.0000
2.5148 6.1752 0.0000
2.5148 0.0000 6.1752
Ho Zn
1 12
Direct
0.0000 0.0000 0.0000 Ho
0.5000 0.5000 0.0000 Zn
0.0000 0.5000 0.0000 Zn
0.0000 0.0000 0.5000 Zn
0.5000 0.0000 0.5000 Zn
0.0000 0.3538 0.6462 Zn
0.0000 0.6462 0.3538 Zn
0.3538 0.6462 0.6462 Zn
0.6462 0.3538 0.3538 Zn
0.5000 0.7846 0.2154 Zn
0.5000 0.2154 0.7846 Zn
0.2846 0.2154 0.2154 Zn
0.7154 0.7846 0.7846 Zn
```

E_tot, eV per atom: -2.0348
Mass density, g cm⁻³: 8.22
Energy relative to the elements, eV per formula unit: -2.52


Record 11
VASP calculation (PBEsol) on a relaxed structure of Sr2Ca6Mn7FeO24.

Structure (POSCAR):
```
Sr2Ca6Mn7FeO24
1.0
-2.1124 -3.3762 -6.3035
6.8958 -2.9496 -0.7310
-2.0948 -6.0655 3.9507
Sr Ca Mn Fe O
2 6 7 1 24
Direct
0.7497 0.2465 0.2465 Sr
0.2503 0.2465 0.2465 Sr
0.7491 0.7405 0.2356 Ca
0.7505 0.7380 0.7380 Ca
0.7491 0.2356 0.7405 Ca
0.2509 0.7405 0.2356 Ca
0.2495 0.7380 0.7380 Ca
0.2509 0.2356 0.7405 Ca
0.0000 0.4934 0.9894 Mn
0.0000 0.9894 0.4934 Mn
0.0000 0.4935 0.4935 Mn
0.5000 0.9909 0.9909 Mn
0.5000 0.4941 0.9887 Mn
0.5000 0.9887 0.4941 Mn
0.5000 0.4932 0.4932 Mn
0.0000 0.9911 0.9911 Fe
0.7508 0.0019 0.0019 O
0.7500 0.5126 0.0056 O
0.7500 0.0056 0.5126 O
0.7501 0.5086 0.5086 O
0.2492 0.0019 0.0019 O
0.2500 0.5126 0.0056 O
0.2500 0.0056 0.5126 O
0.2499 0.5086 0.5086 O
0.0000 0.9975 0.2518 O
0.0000 0.5119 0.2529 O
0.0000 0.0046 0.7525 O
0.0000 0.5134 0.7521 O
0.5000 0.9996 0.2540 O
0.5000 0.5121 0.2538 O
0.5000 0.0105 0.7530 O
0.5000 0.5149 0.7524 O
0.0000 0.7525 0.0046 O
0.0000 0.2518 0.9975 O
0.0000 0.7521 0.5134 O
0.0000 0.2529 0.5119 O
0.5000 0.7530 0.0105 O
0.5000 0.2540 0.9996 O
0.5000 0.7524 0.5149 O
0.5000 0.2538 0.5121 O
```

E_tot, eV per atom: -7.7118
Formation energy (no corrections), meV/atom: -2217.9
Mass density, g cm⁻³: 4.86


Record 12
VASP calculation (PBEsol) on a relaxed structure of BeSi2.

Structure (POSCAR):
```
BeSi2
1.0
-1.7975 -4.5138 0.2540
-0.7824 -2.5397 -4.0752
2.8297 -3.8092 -1.0735
Be Si
2 4
Direct
0.5000 0.5000 0.5000 Be
0.7500 0.7500 0.7500 Be
0.1250 0.1250 0.1250 Si
0.1250 0.1250 0.6250 Si
0.1250 0.6250 0.1250 Si
0.6250 0.1250 0.1250 Si
```

E_tot, eV per atom: -4.4668
Formation energy (no corrections), meV/atom: 697.6
Mass density, g cm⁻³: 2.66


Record 13
VASP calculation (PBEsol) on a relaxed structure of MgTlCl.

Structure (POSCAR):
```
MgTlCl
1.0
-0.3124 -3.0877 1.4043
2.9289 1.5973 0.6882
-4.4420 3.8503 5.0841
Cl Mg Tl
1 1 1
Direct
0.9602 0.9602 0.9204 Cl
0.3560 0.3560 0.7119 Mg
0.6839 0.6839 0.3677 Tl
```

E_tot, eV per atom: -2.7808
Formation energy (no corrections), meV/atom: -662.4
Mass density, g cm⁻³: 5.52


Record 14
VASP calculation (PBEsol) on a relaxed structure of SrMnNi2.

Structure (POSCAR):
```
SrMnNi2
1.0
3.1605 0.0000 0.0000
0.0000 4.5041 0.0000
0.0000 0.0000 4.5041
Mn Ni Sr
1 2 1
Direct
0.5000 0.0000 0.0000 Mn
0.0000 0.0000 0.5000 Ni
0.0000 0.5000 0.0000 Ni
0.5000 0.5000 0.5000 Sr
```

E_tot, eV per atom: -5.4724
Mass density, g cm⁻³: 6.73
Energy relative to the elements, eV per formula unit: 2.03


Record 15
VASP calculation (PBEsol) on a relaxed structure of LiTlAu.

Structure (POSCAR):
```
LiTlAu
1.0
3.5085 0.0000 0.0000
0.0000 3.5140 0.0000
-1.7543 -1.7570 4.4957
Tl Au Li
1 1 1
Direct
0.3331 0.3331 0.6662 Tl
0.0139 0.0139 0.0277 Au
0.6531 0.6531 0.3061 Li
```

E_tot, eV per atom: -3.1452
Mass density, g cm⁻³: 12.23
Energy relative to the elements, eV per formula unit: -0.91


Record 16
VASP calculation (PBEsol) on a relaxed structure of Na2VP2O8.

Structure (POSCAR):
```
Na2VP2O8
1.0
6.2738 0.0127 0.0000
-1.2870 7.5941 0.0000
0.0000 0.0000 13.4233
Na V P O
8 4 8 32
Direct
0.5613 0.4725 0.1316 Na
0.9387 0.5275 0.6316 Na
0.4387 0.5275 0.8684 Na
0.0613 0.4725 0.3684 Na
0.3416 0.9335 0.7884 Na
0.1584 0.0665 0.2884 Na
0.6584 0.0665 0.2116 Na
0.8416 0.9335 0.7116 Na
0.2324 0.7722 0.0749 V
0.2676 0.2278 0.5749 V
0.7676 0.2278 0.9251 V
0.7324 0.7722 0.4251 V
0.7519 0.8286 0.0183 P
0.7481 0.1714 0.5183 P
0.2481 0.1714 0.9817 P
0.2519 0.8286 0.4817 P
0.9610 0.6389 0.8665 P
0.5390 0.3611 0.3665 P
0.0390 0.3611 0.1335 P
0.4610 0.6389 0.6335 P
0.0305 0.7114 0.7648 O
0.4695 0.2886 0.2648 O
0.9695 0.2886 0.2352 O
0.5305 0.7114 0.7352 O
0.8171 0.7834 0.9072 O
0.6829 0.2166 0.4072 O
0.1829 0.2166 0.0928 O
0.3171 0.7834 0.5928 O
0.5274 0.7178 0.0351 O
0.9726 0.2822 0.5351 O
0.4726 0.2822 0.9649 O
0.0274 0.7178 0.4649 O
0.2532 0.9746 0.9763 O
0.2468 0.0254 0.4763 O
0.7468 0.0254 0.0237 O
0.7532 0.9746 0.5237 O
0.9148 0.7689 0.0902 O
0.5852 0.2311 0.5902 O
0.0852 0.2311 0.9098 O
0.4148 0.7689 0.4098 O
0.6474 0.6354 0.5614 O
0.8526 0.3646 0.0614 O
0.3526 0.3646 0.4386 O
0.1474 0.6354 0.9386 O
0.6974 0.5360 0.3614 O
0.8026 0.4640 0.8614 O
0.3026 0.4640 0.6386 O
0.1974 0.5360 0.1386 O
0.8155 0.8928 0.3287 O
0.6845 0.1072 0.8287 O
0.1845 0.1072 0.6713 O
0.3155 0.8928 0.1713 O
```

E_tot, eV per atom: -7.3515
Formation energy (no corrections), meV/atom: -2273.7
Mass density, g cm⁻³: 2.98


Record 17
VASP calculation (PBEsol) on a relaxed structure of LaInN2.

Structure (POSCAR):
```
LaInN2
1.0
-3.7559 -0.9350 0.3622
-1.0481 -3.7242 0.3801
-1.1280 -1.0538 6.4444
N In La
2 1 1
Direct
0.8956 0.8956 0.3133 N
0.1044 0.1044 0.6867 N
0.0000 0.0000 0.0000 In
0.5000 0.5000 0.5000 La
```

E_tot, eV per atom: -6.8163
Formation energy (no corrections), meV/atom: -470.7
Mass density, g cm⁻³: 5.73


Record 18
VASP calculation (PBEsol) on a relaxed structure of MnSn3I.

Structure (POSCAR):
```
MnSn3I
1.0
4.9974 0.0000 0.0000
0.0000 4.9974 0.0000
0.0000 0.0000 4.9974
I Mn Sn
1 1 3
Direct
0.5000 0.5000 0.5000 I
0.0000 0.0000 0.0000 Mn
0.0000 0.5000 0.0000 Sn
0.0000 0.0000 0.5000 Sn
0.5000 0.0000 0.0000 Sn
```

E_tot, eV per atom: -4.9216
Formation energy (no corrections), meV/atom: -60.5
Mass density, g cm⁻³: 7.16


Record 19
VASP calculation (PBEsol) on a relaxed structure of TcSbSeI2.

Structure (POSCAR):
```
TcSbSeI2
1.0
-4.0223 1.2408 -2.9579
-3.1458 -2.4530 3.2487
-0.6398 4.4387 2.7321
I Sb Tc Se
2 1 1 1
Direct
0.0000 0.5000 0.0000 I
0.5000 0.0000 0.0000 I
0.0000 0.0000 0.5000 Sb
0.0000 0.0000 0.0000 Tc
0.5000 0.5000 0.5000 Se
```

E_tot, eV per atom: -4.0332
Formation energy (no corrections), meV/atom: 608.3
Mass density, g cm⁻³: 6.60


Record 20
VASP calculation (PBEsol) on a relaxed structure of RhCl3F.

Structure (POSCAR):
```
RhCl3F
1.0
-2.5936 -3.5855 -0.8230
-0.4964 -0.6566 4.4252
-3.6451 2.6407 -0.0171
F Rh Cl
1 1 3
Direct
0.0000 0.0000 0.0000 F
0.5000 0.5000 0.5000 Rh
0.0000 0.5000 0.0000 Cl
0.0000 0.0000 0.5000 Cl
0.5000 0.0000 0.0000 Cl
```

E_tot, eV per atom: -2.3557
Formation energy (no corrections), meV/atom: 862.2
Mass density, g cm⁻³: 4.16